Record 1
VASP calculation (GGA-PBE) on a relaxed structure of SrCa2Cl.

a b c (Å): 4.0651 3.8438 10.2835
angles (deg): 90.00 90.00 90.00
Space group Pm (No. 6)
One atom of each set of equivalent atoms:
Sr1 0.0000 0.0000 0.0000 [1 per cell]
Ca1 0.0001 0.0000 0.4438 [1 per cell]
Ca2 0.5002 0.5000 0.7113 [1 per cell]
Cl1 0.9972 0.5000 0.2331 [1 per cell]

Properties
Total magnetization   0.0 μB per cell
Distance to the lowest polymorph of the same formula   17 meV/atom
Raw formation energy   -3.10 eV/f.u.

=====

Record 2
VASP calculation (GGA-PBE) on a relaxed structure of RbMn2Pt2.

a b c (Å): 8.1581 8.1581 2.9051
angles (deg): 90.00 90.00 90.00
Space group P4/mbm (No. 127)
One atom of each set of equivalent atoms:
Rb1 0.0000 0.0000 0.0000 [2 per cell]
Mn1 0.1342 0.3658 0.5000 [4 per cell]
Pt1 0.1495 0.6495 0.0000 [4 per cell]

Properties
Total magnetization   18.0 μB per cell
ΔH_f (0 K)   0.051 eV per atom
Distance to the lowest polymorph of the same formula   3 meV/atom

=====

Record 3
VASP calculation (GGA-PBE) on a relaxed structure of Tc3SbC.

a b c (Å): 4.8332 4.8332 4.8332
angles (deg): 90.00 90.00 90.00
Space group Pm-3m (No. 221)
One atom of each set of equivalent atoms:
Tc1 0.0000 0.0000 0.5000 [3 per cell]
Sb1 0.0000 0.0000 0.0000 [1 per cell]
C1 0.5000 0.5000 0.5000 [1 per cell]

Properties
Total magnetization   0.0 μB per cell
Distance to the lowest polymorph of the same formula   3119 meV/atom
Raw formation energy   16.59 eV/f.u.

=====

Record 4
VASP calculation (GGA-PBE) on a relaxed structure of Ac8HOs3I3.

a b c (Å): 8.6866 8.6866 25.8532
angles (deg): 90.00 90.00 120.00
Space group R-3m (No. 166, hexagonal axes)
One atom of each set of equivalent atoms:
Ac1 0.0000 0.0000 0.2294 [6 per cell]
Ac2 0.0078 0.5039 0.7729 [18 per cell]
H1 0.0000 0.0000 0.5000 [3 per cell]
Os1 0.0000 0.5000 0.5000 [9 per cell]
I1 0.0000 0.5000 0.0000 [9 per cell]

Properties
Total magnetization   2.4 μB per cell

=====

Number 1: electronic total energy -2.6570 eV/atom. Number 2: electronic total energy -6.2268 eV/atom. Number 3: electronic total energy -5.5702 eV/atom. Number 4: electronic total energy -5.4495 eV/atom.